(1)
DFT (PBE) results for Y3ZnP after structural relaxation.

```
Y3ZnP
1.0
5.257 0.000 0.000
0.000 5.257 0.000
0.000 0.000 5.257
Y P Zn
3 1 1
Direct
0.000 0.500 0.000
0.000 0.000 0.500
0.500 0.000 0.000
0.000 0.000 0.000
0.500 0.500 0.500
```

Results
distance to the lowest polymorph of the same formula	0.000	eV/atom
space-group type	Pm-3m, No. 221

(2)
DFT (PBE) results for Y2ZnP after structural relaxation.

```
Y2ZnP
1.0
7.518 0.000 0.000
0.000 7.518 0.000
3.759 3.759 3.553
Y P Zn
4 2 2
Direct
0.608 0.125 0.250
0.142 0.625 0.250
0.375 0.392 0.750
0.875 0.858 0.750
0.500 0.500 0.000
0.250 0.750 0.500
0.000 0.000 0.000
0.750 0.250 0.500
```

Results
distance to the lowest polymorph of the same formula	0.343	eV/atom
space-group type	I-42d, No. 122

(3)
DFT (PBE) results for YZnP after structural relaxation.

```
YZnP
1.0
-1.411 0.950 5.577
-2.539 3.505 3.469
-2.877 -1.745 0.956
Y Zn P
1 1 1
Direct
0.658 0.658 0.342
0.358 0.358 0.642
0.984 0.984 0.016
```

Results
space-group type	Fmm2, No. 42

(4)
DFT (PBE) results for YZn2P after structural relaxation.

```
YZn2P
1.0
2.708 -3.595 0.000
2.708 3.595 0.000
0.000 0.000 4.119
Y Zn P
1 2 1
Direct
0.000 0.000 0.500
0.694 0.306 0.000
0.306 0.694 0.000
0.500 0.500 0.500
```

Results
space-group type	Cmmm, No. 65

(5)
DFT (PBE) results for YZnP after structural relaxation.

```
YZnP
1.0
0.000 3.309 3.309
3.309 0.000 3.309
3.309 3.309 0.000
Y Zn P
1 1 1
Direct
0.250 0.250 0.250
0.000 0.000 0.000
0.500 0.500 0.500
```

Results
space-group type	F-43m, No. 216

(6)
DFT (PBE) results for YZnP after structural relaxation.

```
YZnP
1.0
-0.302 -3.785 0.627
5.577 0.169 3.715
-4.821 1.572 7.167
Y P Zn
4 4 4
Direct
0.250 0.028 0.325
0.750 0.472 0.825
0.750 0.972 0.675
0.250 0.528 0.175
0.250 0.276 0.619
0.750 0.224 0.119
0.750 0.724 0.381
0.250 0.776 0.881
0.250 0.153 0.936
0.750 0.347 0.436
0.750 0.847 0.064
0.250 0.653 0.564
```

Results
space-group type	Pnma, No. 62

(7)
DFT (PBE) results for Y2ZnP after structural relaxation.

```
Y2ZnP
1.0
0.000 3.503 3.503
3.503 0.000 3.503
3.503 3.503 0.000
Y P Zn
2 1 1
Direct
0.250 0.250 0.250
0.750 0.750 0.750
0.000 0.000 0.000
0.500 0.500 0.500
```

Results
distance to the lowest polymorph of the same formula	0.302	eV/atom
space-group type	Fm-3m, No. 225

(8)
DFT (PBE) results for YZnP after structural relaxation.

```
YZnP
1.0
-6.996 -1.655 -0.100
4.844 -4.970 1.882
-0.316 1.107 3.735
Y Zn P
3 3 3
Direct
0.627 0.000 0.000
0.000 0.627 0.000
0.373 0.373 0.000
0.333 0.667 0.500
0.667 0.333 0.500
0.000 0.000 0.000
0.319 0.000 0.500
0.000 0.319 0.500
0.681 0.681 0.500
```

Results
space-group type	P-62m, No. 189

These records have magnetic moment values of 0.00, 0.00, 0.00, 0.00, 0.00, 0.00, 0.00, 0.00 μB/cell, in the order they appear.
These records have formation enthalpy at 0 K values of -44, -53, -49, -44, -39, -72, -56, -59 kJ per mole of atoms, in the order they appear.